Entry 1:
# NdCoHg GGA-PBE optimized geometry
data_NdCoHg
_chemical_formula_sum 'Nd2 Co2 Hg2'
_symmetry_space_group_name_H-M 'P 1'
_symmetry_Int_Tables_number 1
_cell_length_a 4.003
_cell_length_b 5.195
_cell_length_c 6.839
_cell_angle_alpha 102.36
_cell_angle_beta 107.02
_cell_angle_gamma 90.00
loop_
_symmetry_equiv_pos_as_xyz
'x,y,z'
loop_
_atom_site_label
_atom_site_type_symbol
_atom_site_fract_x
_atom_site_fract_y
_atom_site_fract_z
Co1 Co 0.770 0.105 0.541
Co2 Co 0.230 0.895 0.459
Hg1 Hg 0.577 0.781 0.153
Hg2 Hg 0.423 0.219 0.847
Nd1 Nd 0.871 0.681 0.741
Nd2 Nd 0.129 0.319 0.259
# Total DFT energy (no corrections)   -4.26 eV per atom
# Calculated density   10.12 g cm⁻³
# Symmetry   No. 12
# Energy of formation from the pure elements   -0.20 eV/atom
# Calculated volume   132.5 Å³ per cell



Entry 2:
# Nd12Co5Hg GGA-PBE optimized geometry
data_Nd12Co5Hg
_chemical_formula_sum 'Nd12 Co5 Hg1'
_symmetry_space_group_name_H-M 'P 1'
_symmetry_Int_Tables_number 1
_cell_length_a 8.573
_cell_length_b 8.573
_cell_length_c 8.573
_cell_angle_alpha 108.38
_cell_angle_beta 110.68
_cell_angle_gamma 109.36
loop_
_symmetry_equiv_pos_as_xyz
'x,y,z'
loop_
_atom_site_label
_atom_site_type_symbol
_atom_site_fract_x
_atom_site_fract_y
_atom_site_fract_z
Nd1 Nd 0.518 0.816 0.702
Nd2 Nd 0.482 0.184 0.298
Nd3 Nd 0.886 0.184 0.702
Nd4 Nd 0.114 0.816 0.298
Nd5 Nd 0.695 0.683 0.377
Nd6 Nd 0.305 0.317 0.623
Nd7 Nd 0.305 0.683 0.988
Nd8 Nd 0.695 0.317 0.012
Nd9 Nd 0.809 0.609 0.800
Nd10 Nd 0.191 0.391 0.200
Nd11 Nd 0.191 0.990 0.800
Nd12 Nd 0.809 0.010 0.200
Co1 Co 0.621 0.621 0.000
Co2 Co 0.379 0.379 0.000
Co3 Co 0.500 0.113 0.613
Co4 Co 0.500 0.887 0.387
Co5 Co 0.000 0.000 0.000
Hg1 Hg 0.000 0.500 0.500
# Total DFT energy (no corrections)   -5.29 eV per atom
# Calculated density   7.62 g cm⁻³
# Symmetry   No. 71
# Energy of formation from the pure elements   -0.12 eV/atom
# Calculated volume   484.9 Å³ per cell



Entry 3:
# Nd12Co2Hg5 GGA-PBE optimized geometry
data_Nd12Co2Hg5
_chemical_formula_sum 'Nd12 Co2 Hg5'
_symmetry_space_group_name_H-M 'P 1'
_symmetry_Int_Tables_number 1
_cell_length_a 7.682
_cell_length_b 9.321
_cell_length_c 10.084
_cell_angle_alpha 105.93
_cell_angle_beta 90.00
_cell_angle_gamma 114.34
loop_
_symmetry_equiv_pos_as_xyz
'x,y,z'
loop_
_atom_site_label
_atom_site_type_symbol
_atom_site_fract_x
_atom_site_fract_y
_atom_site_fract_z
Nd1 Nd 0.001 0.003 0.183
Nd2 Nd 0.109 0.681 0.920
Nd3 Nd 0.572 0.681 0.920
Nd4 Nd 0.099 0.698 0.427
Nd5 Nd 0.599 0.698 0.427
Nd6 Nd 0.500 0.999 0.770
Nd7 Nd 0.500 0.001 0.230
Nd8 Nd 0.901 0.302 0.573
Nd9 Nd 0.401 0.302 0.573
Nd10 Nd 0.891 0.319 0.080
Nd11 Nd 0.428 0.319 0.080
Nd12 Nd 0.999 0.997 0.817
Co1 Co 0.707 0.000 0.000
Co2 Co 0.293 0.000 0.000
Hg1 Hg 0.303 0.606 0.640
Hg2 Hg 0.306 0.612 0.164
Hg3 Hg 0.000 0.000 0.500
Hg4 Hg 0.694 0.388 0.836
Hg5 Hg 0.697 0.394 0.360
# Total DFT energy (no corrections)   -3.95 eV per atom
# Calculated density   7.55 g cm⁻³
# Symmetry   No. 12
# Energy of formation from the pure elements   -0.12 eV/atom
# Calculated volume   627.3 Å³ per cell



Entry 4:
# NdThCoHg GGA-PBE optimized geometry
data_NdThCoHg
_chemical_formula_sum 'Nd1 Th1 Co1 Hg1'
_symmetry_space_group_name_H-M 'P 1'
_symmetry_Int_Tables_number 1
_cell_length_a 3.970
_cell_length_b 3.978
_cell_length_c 8.230
_cell_angle_alpha 90.02
_cell_angle_beta 103.98
_cell_angle_gamma 119.97
loop_
_symmetry_equiv_pos_as_xyz
'x,y,z'
loop_
_atom_site_label
_atom_site_type_symbol
_atom_site_fract_x
_atom_site_fract_y
_atom_site_fract_z
Nd1 Nd 0.505 0.150 0.670
Th1 Th 0.094 0.945 0.054
Co1 Co 0.313 0.554 0.882
Hg1 Hg 0.966 0.381 0.363
# Total DFT energy (no corrections)   -5.15 eV per atom
# Calculated density   9.76 g cm⁻³
# Symmetry   No. 8
# Energy of formation from the pure elements   -0.25 eV/atom
# Calculated volume   108.1 Å³ per cell



Entry 5:
# NdYCoHg GGA-PBE optimized geometry
data_NdYCoHg
_chemical_formula_sum 'Nd1 Y1 Co1 Hg1'
_symmetry_space_group_name_H-M 'P 1'
_symmetry_Int_Tables_number 1
_cell_length_a 5.127
_cell_length_b 5.127
_cell_length_c 5.127
_cell_angle_alpha 60.00
_cell_angle_beta 60.00
_cell_angle_gamma 60.00
loop_
_symmetry_equiv_pos_as_xyz
'x,y,z'
loop_
_atom_site_label
_atom_site_type_symbol
_atom_site_fract_x
_atom_site_fract_y
_atom_site_fract_z
Y1 Y 0.750 0.750 0.750
Co1 Co 0.000 0.000 0.000
Nd1 Nd 0.250 0.250 0.250
Hg1 Hg 0.500 0.500 0.500
# Total DFT energy (no corrections)   -4.83 eV per atom
# Calculated density   8.58 g cm⁻³
# Symmetry   No. 216
# Energy of formation from the pure elements   -0.17 eV/atom
# Calculated volume   95.3 Å³ per cell



Entry 6:
# CoNi2Hg2 GGA-PBE optimized geometry
data_CoNi2Hg2
_chemical_formula_sum 'Co2 Ni4 Hg4'
_symmetry_space_group_name_H-M 'P 1'
_symmetry_Int_Tables_number 1
_cell_length_a 6.185
_cell_length_b 6.185
_cell_length_c 4.083
_cell_angle_alpha 90.00
_cell_angle_beta 90.00
_cell_angle_gamma 90.00
loop_
_symmetry_equiv_pos_as_xyz
'x,y,z'
loop_
_atom_site_label
_atom_site_type_symbol
_atom_site_fract_x
_atom_site_fract_y
_atom_site_fract_z
Ni1 Ni 0.365 0.865 0.000
Ni2 Ni 0.865 0.635 0.000
Ni3 Ni 0.635 0.135 0.000
Ni4 Ni 0.135 0.365 0.000
Co1 Co 0.000 0.000 0.000
Co2 Co 0.500 0.500 0.000
Hg1 Hg 0.174 0.674 0.500
Hg2 Hg 0.674 0.826 0.500
Hg3 Hg 0.826 0.326 0.500
Hg4 Hg 0.326 0.174 0.500
# Total DFT energy (no corrections)   -3.50 eV per atom
# Calculated density   12.28 g cm⁻³
# Symmetry   No. 127
# Energy of formation from the pure elements   0.35 eV/atom
# Calculated volume   156.2 Å³ per cell



Entry 7:
# CoNiHg4 GGA-PBE optimized geometry
data_CoNiHg4
_chemical_formula_sum 'Co1 Ni1 Hg4'
_symmetry_space_group_name_H-M 'P 1'
_symmetry_Int_Tables_number 1
_cell_length_a 5.637
_cell_length_b 5.637
_cell_length_c 5.637
_cell_angle_alpha 60.00
_cell_angle_beta 60.00
_cell_angle_gamma 60.00
loop_
_symmetry_equiv_pos_as_xyz
'x,y,z'
loop_
_atom_site_label
_atom_site_type_symbol
_atom_site_fract_x
_atom_site_fract_y
_atom_site_fract_z
Co1 Co 0.000 0.000 0.000
Ni1 Ni 0.750 0.750 0.750
Hg1 Hg 0.875 0.375 0.375
Hg2 Hg 0.375 0.375 0.875
Hg3 Hg 0.375 0.875 0.375
Hg4 Hg 0.375 0.375 0.375
# Total DFT energy (no corrections)   -1.46 eV per atom
# Calculated density   12.06 g cm⁻³
# Symmetry   No. 216
# Energy of formation from the pure elements   0.89 eV/atom
# Calculated volume   126.7 Å³ per cell



Entry 8:
# CoNi3Hg GGA-PBE optimized geometry
data_CoNi3Hg
_chemical_formula_sum 'Co1 Ni3 Hg1'
_symmetry_space_group_name_H-M 'P 1'
_symmetry_Int_Tables_number 1
_cell_length_a 4.310
_cell_length_b 4.310
_cell_length_c 4.310
_cell_angle_alpha 90.00
_cell_angle_beta 90.00
_cell_angle_gamma 90.00
loop_
_symmetry_equiv_pos_as_xyz
'x,y,z'
loop_
_atom_site_label
_atom_site_type_symbol
_atom_site_fract_x
_atom_site_fract_y
_atom_site_fract_z
Ni1 Ni 0.000 0.500 0.000
Ni2 Ni 0.000 0.000 0.500
Ni3 Ni 0.500 0.000 0.000
Co1 Co 0.000 0.000 0.000
Hg1 Hg 0.500 0.500 0.500
# ΔE to the lowest computed polymorph   0 kJ/mol of formula units
# Total DFT energy (no corrections)   -4.09 eV per atom
# Calculated density   9.04 g cm⁻³
# Symmetry   No. 221
# Energy of formation from the pure elements   0.86 eV/atom
# Calculated volume   80.0 Å³ per cell



Entry 9:
# CoNiHg2Os GGA-PBE optimized geometry
data_CoNiHg2Os
_chemical_formula_sum 'Co1 Ni1 Hg2 Os1'
_symmetry_space_group_name_H-M 'P 1'
_symmetry_Int_Tables_number 1
_cell_length_a 4.797
_cell_length_b 4.487
_cell_length_c 4.797
_cell_angle_alpha 90.00
_cell_angle_beta 90.00
_cell_angle_gamma 90.00
loop_
_symmetry_equiv_pos_as_xyz
'x,y,z'
loop_
_atom_site_label
_atom_site_type_symbol
_atom_site_fract_x
_atom_site_fract_y
_atom_site_fract_z
Ni1 Ni 0.000 0.000 0.000
Os1 Os 0.000 0.500 0.000
Hg1 Hg 0.000 0.000 0.500
Hg2 Hg 0.500 0.000 0.000
Co1 Co 0.500 0.500 0.500
# Total DFT energy (no corrections)   -3.47 eV per atom
# Calculated density   11.41 g cm⁻³
# Symmetry   No. 123
# Energy of formation from the pure elements   1.47 eV/atom
# Calculated volume   103.2 Å³ per cell



Entry 10:
# Co2NiHgP GGA-PBE optimized geometry
data_Co2NiHgP
_chemical_formula_sum 'Co2 Ni1 Hg1 P1'
_symmetry_space_group_name_H-M 'P 1'
_symmetry_Int_Tables_number 1
_cell_length_a 4.743
_cell_length_b 4.687
_cell_length_c 4.743
_cell_angle_alpha 90.00
_cell_angle_beta 90.00
_cell_angle_gamma 90.00
loop_
_symmetry_equiv_pos_as_xyz
'x,y,z'
loop_
_atom_site_label
_atom_site_type_symbol
_atom_site_fract_x
_atom_site_fract_y
_atom_site_fract_z
Ni1 Ni 0.000 0.500 0.000
Co1 Co 0.000 0.000 0.500
Co2 Co 0.500 0.000 0.000
Hg1 Hg 0.000 0.000 0.000
P1 P 0.500 0.500 0.500
# Total DFT energy (no corrections)   -3.37 eV per atom
# Calculated density   6.43 g cm⁻³
# Symmetry   No. 123
# Energy of formation from the pure elements   1.77 eV/atom
# Calculated volume   105.4 Å³ per cell